Entry from Alexandria via LeMat-Bulk: a relaxed Y3Mg2In crystal (PBE-GGA).

## Properties
For the energy above the lowest structure with this stoichiometry, the calculation gives 18 meV/atom. As for the density: 4.38 Mg/m³.

Cell: 3.8059 3.8059 11.2484 Å, 90.00 90.00 90.00°
Closest atoms and distances in Å follow each position.
Positions (direct):
In 0.5000 0.5000 0.5000  8 Y 3.28
Y 0.0000 0.0000 0.0000  8 Mg 3.27
Y 0.0000 0.0000 0.6662  4 In 3.28, 4 Mg 3.29
Y 0.0000 0.0000 0.3338  4 In 3.28, 4 Mg 3.29
Mg 0.5000 0.5000 0.8350  8 Y 3.27-3.29
Mg 0.5000 0.5000 0.1650  8 Y 3.27-3.29

=====

Entry from Alexandria via LeMat-Bulk: a relaxed PmEr6Te8 crystal (PBE-GGA).

## Properties
For the energy above the lowest structure with this stoichiometry, the calculation gives 138 meV/atom. As for the density: 7.94 Mg/m³. The calculation puts the uncorrected formation energy at -1.19 eV/atom.

Cell: 8.1267 8.1267 8.1267 Å, 69.38 69.38 69.38°
Closest atoms and distances in Å follow each position.
Positions (direct):
Pm 0.0000 0.0000 0.0000  6 Te 3.14
Er 0.0776 0.4513 0.6926  7 Te 3.06-3.26
Er 0.4513 0.6926 0.0776  7 Te 3.06-3.26
Er 0.9224 0.5487 0.3074  7 Te 3.06-3.26
Er 0.5487 0.3074 0.9224  7 Te 3.06-3.26
Er 0.3074 0.9224 0.5487  7 Te 3.06-3.26
Er 0.6926 0.0776 0.4513  7 Te 3.06-3.26
Te 0.1910 0.6274 0.8974  5 Er 3.06-3.26, 1 Pm 3.14
Te 0.8090 0.3726 0.1026  5 Er 3.06-3.26, 1 Pm 3.14
Te 0.1026 0.8090 0.3726  5 Er 3.06-3.26, 1 Pm 3.14
Te 0.6759 0.6759 0.6759  6 Er 3.15-3.25
Te 0.8974 0.1910 0.6274  5 Er 3.06-3.26, 1 Pm 3.14
Te 0.3726 0.1026 0.8090  5 Er 3.06-3.26, 1 Pm 3.14
Te 0.3241 0.3241 0.3241  6 Er 3.15-3.25
Te 0.6274 0.8974 0.1910  5 Er 3.06-3.26, 1 Pm 3.14

=====

> The highest energy above the lowest structure with this stoichiometry belongs to which entry?

PmEr6Te8

=====

What did the first record say?
Entry from Alexandria via LeMat-Bulk: a relaxed Y3Mg2In crystal (PBE-GGA).

## Properties
For the energy above the lowest structure with this stoichiometry, the calculation gives 18 meV/atom. As for the density: 4.38 Mg/m³.

Cell: 3.8059 3.8059 11.2484 Å, 90.00 90.00 90.00°
Closest atoms and distances in Å follow each position.
Positions (direct):
In 0.5000 0.5000 0.5000  8 Y 3.28
Y 0.0000 0.0000 0.0000  8 Mg 3.27
Y 0.0000 0.0000 0.6662  4 In 3.28, 4 Mg 3.29
Y 0.0000 0.0000 0.3338  4 In 3.28, 4 Mg 3.29
Mg 0.5000 0.5000 0.8350  8 Y 3.27-3.29
Mg 0.5000 0.5000 0.1650  8 Y 3.27-3.29

=====

Please write out number 1 again, unchanged.
Entry from Alexandria via LeMat-Bulk: a relaxed Y3Mg2In crystal (PBE-GGA).

## Properties
For the energy above the lowest structure with this stoichiometry, the calculation gives 18 meV/atom. As for the density: 4.38 Mg/m³.

Cell: 3.8059 3.8059 11.2484 Å, 90.00 90.00 90.00°
Closest atoms and distances in Å follow each position.
Positions (direct):
In 0.5000 0.5000 0.5000  8 Y 3.28
Y 0.0000 0.0000 0.0000  8 Mg 3.27
Y 0.0000 0.0000 0.6662  4 In 3.28, 4 Mg 3.29
Y 0.0000 0.0000 0.3338  4 In 3.28, 4 Mg 3.29
Mg 0.5000 0.5000 0.8350  8 Y 3.27-3.29
Mg 0.5000 0.5000 0.1650  8 Y 3.27-3.29

=====

Copy entry 2 word for word.
Entry from Alexandria via LeMat-Bulk: a relaxed PmEr6Te8 crystal (PBE-GGA).

## Properties
For the energy above the lowest structure with this stoichiometry, the calculation gives 138 meV/atom. As for the density: 7.94 Mg/m³. The calculation puts the uncorrected formation energy at -1.19 eV/atom.

Cell: 8.1267 8.1267 8.1267 Å, 69.38 69.38 69.38°
Closest atoms and distances in Å follow each position.
Positions (direct):
Pm 0.0000 0.0000 0.0000  6 Te 3.14
Er 0.0776 0.4513 0.6926  7 Te 3.06-3.26
Er 0.4513 0.6926 0.0776  7 Te 3.06-3.26
Er 0.9224 0.5487 0.3074  7 Te 3.06-3.26
Er 0.5487 0.3074 0.9224  7 Te 3.06-3.26
Er 0.3074 0.9224 0.5487  7 Te 3.06-3.26
Er 0.6926 0.0776 0.4513  7 Te 3.06-3.26
Te 0.1910 0.6274 0.8974  5 Er 3.06-3.26, 1 Pm 3.14
Te 0.8090 0.3726 0.1026  5 Er 3.06-3.26, 1 Pm 3.14
Te 0.1026 0.8090 0.3726  5 Er 3.06-3.26, 1 Pm 3.14
Te 0.6759 0.6759 0.6759  6 Er 3.15-3.25
Te 0.8974 0.1910 0.6274  5 Er 3.06-3.26, 1 Pm 3.14
Te 0.3726 0.1026 0.8090  5 Er 3.06-3.26, 1 Pm 3.14
Te 0.3241 0.3241 0.3241  6 Er 3.15-3.25
Te 0.6274 0.8974 0.1910  5 Er 3.06-3.26, 1 Pm 3.14